Below is Pr3SnRu after structural relaxation, with properties calculated at the PBE-GGA level.

Cell lengths 7.7854, 7.7854, 8.7411 Å; angles 92.65, 92.65, 34.44 degrees
Last column: nearest neighbours and their distance in Å.
Positions (direct):
Pr 0.0475 0.0475 0.2904  1 Ru 2.91
Pr 0.2414 0.2414 0.7050  3 Ru 3.06-3.42, 3 Sn 3.36-3.39
Pr 0.3815 0.3815 0.0577  3 Ru 2.78-2.84
Pr 0.6185 0.6185 0.9423  3 Ru 2.78-2.84
Pr 0.7586 0.7586 0.2950  3 Ru 3.06-3.42, 3 Sn 3.36-3.39
Pr 0.9525 0.9525 0.7096  1 Ru 2.91
Sn 0.4024 0.4024 0.4438  1 Sn 3.02, 5 Pr 3.33-3.37
Sn 0.5976 0.5976 0.5562  1 Sn 3.02, 5 Pr 3.33-3.37
Ru 0.1960 0.1960 0.0849  6 Pr 2.78-3.06
Ru 0.8040 0.8040 0.9151  6 Pr 2.78-3.06

Values from the calculation:
The energy relative to the lowest polymorph listed for this composition is 10 meV/atom. Its density of states at the Fermi level is 0.83 states/eV per atom. As for the energy of formation from the pure elements: -389 meV per atom.